A relaxed structure of Pm2Er2Se3S2. Source: Alexandria via LeMat-Bulk, functional PBE-GGA.

```
Pm2Er2Se3S2
1.0
-2.795 2.795 7.202
2.795 -2.795 7.202
2.795 2.795 -7.202
Pm Er Se S
2 2 3 2
direct
0.211 0.211 0.000 Pm
0.789 0.789 0.000 Pm
0.000 0.500 0.500 Er
0.500 0.000 0.500 Er
0.000 0.000 0.000 Se
0.250 0.750 0.500 Se
0.750 0.250 0.500 Se
0.403 0.403 0.000 S
0.597 0.597 0.000 S
```

Calculated values
**E_tot**: -5.66 eV/atom
**Fermi-level density of states**: 0.629 states/eV per atom
**Size of the total moment**: 0.000 μB per atom
**ρ**: 6.83 g/cm³
**E_form (uncorrected)**: -1.513 eV/atom